No. 1
Below is a relaxed Na4Tl2Sb crystal, with properties calculated at the GGA-PBE level. Values from VASP.

The structure in Quantum ESPRESSO input format:
```
&SYSTEM
  ibrav = 0, nat = 7, ntyp = 3
/
ATOMIC_SPECIES
Na 22.99 Na.upf
Tl 204.38 Tl.upf
Sb 121.76 Sb.upf
CELL_PARAMETERS angstrom
-2.962 2.962 7.841
2.962 -2.962 7.841
2.962 2.962 -7.841
ATOMIC_POSITIONS angstrom
Na 2.962 0.000 0.000
Na 0.000 0.000 3.039
Na 0.000 2.962 0.000
Na 0.000 0.000 12.642
Tl 0.000 0.000 6.254
Tl 0.000 0.000 9.428
Sb 0.000 0.000 0.000
```

Computed properties:
Mass density, g cm⁻³: 3.76
ΔE_f (raw), eV/atom: -0.03



No. 2
Below is a relaxed Ta4CdSe crystal, with properties calculated at the GGA-PBE level. Values from VASP.

The structure in Quantum ESPRESSO input format:
```
&SYSTEM
  ibrav = 0, nat = 6, ntyp = 3
/
ATOMIC_SPECIES
Ta 180.95 Ta.upf
Cd 112.41 Cd.upf
Se 78.96 Se.upf
CELL_PARAMETERS angstrom
0.000 3.932 3.932
3.932 0.000 3.932
3.932 3.932 0.000
ATOMIC_POSITIONS angstrom
Ta 0.969 0.969 0.969
Ta 2.962 2.962 0.969
Ta 2.962 0.969 2.962
Ta 0.969 2.962 2.962
Cd 5.897 5.897 5.897
Se 3.932 3.932 3.932
```

Computed properties:
Mass density, g cm⁻³: 12.50
ΔE_f (raw), eV/atom: 0.59



No. 3
Below is a relaxed Ac4Zn3Rh5 crystal, with properties calculated at the GGA-PBE level. Values from VASP.

The structure in Quantum ESPRESSO input format:
```
&SYSTEM
  ibrav = 0, nat = 12, ntyp = 3
/
ATOMIC_SPECIES
Ac 227.00 Ac.upf
Zn 65.41 Zn.upf
Rh 102.91 Rh.upf
CELL_PARAMETERS angstrom
6.707 -2.443 0.000
6.707 2.443 0.000
-4.345 0.000 9.076
ATOMIC_POSITIONS angstrom
Ac -0.416 0.000 3.875
Ac -0.246 0.000 7.803
Ac 9.316 0.000 1.273
Ac 9.486 0.000 5.201
Zn 0.000 0.000 0.000
Zn 4.913 0.000 1.941
Zn 4.157 0.000 7.135
Rh 2.708 0.000 3.205
Rh 1.835 0.000 6.095
Rh 6.707 0.000 0.000
Rh 7.235 0.000 2.981
Rh 6.362 0.000 5.870
```

Computed properties:
Energy relative to the elements, kJ/mol of formula units: -396
Mass density, g cm⁻³: 9.04



No. 4
Below is a relaxed Sr2Ac5Ge4 crystal, with properties calculated at the GGA-PBE level. Values from VASP.

The structure in Quantum ESPRESSO input format:
```
&SYSTEM
  ibrav = 0, nat = 11, ntyp = 3
/
ATOMIC_SPECIES
Sr 87.62 Sr.upf
Ac 227.00 Ac.upf
Ge 72.64 Ge.upf
CELL_PARAMETERS angstrom
13.322 -2.170 0.000
13.322 2.170 0.000
-0.198 0.000 7.955
ATOMIC_POSITIONS angstrom
Sr 2.100 0.000 0.917
Sr 24.346 0.000 7.038
Ac 3.707 0.000 5.553
Ac 5.983 0.000 1.675
Ac 13.223 0.000 3.978
Ac 20.464 0.000 6.280
Ac 22.739 0.000 2.403
Ge 0.709 0.000 6.001
Ge 8.759 0.000 0.170
Ge 17.687 0.000 7.785
Ge 25.737 0.000 1.955
```

Computed properties:
Energy relative to the elements, kJ/mol of formula units: -285
Mass density, g cm⁻³: 5.78



No. 5
Below is a relaxed TaAlMo2 crystal, with properties calculated at the GGA-PBE level. Values from VASP.

The structure in Quantum ESPRESSO input format:
```
&SYSTEM
  ibrav = 0, nat = 4, ntyp = 3
/
ATOMIC_SPECIES
Ta 180.95 Ta.upf
Al 26.98 Al.upf
Mo 95.94 Mo.upf
CELL_PARAMETERS angstrom
3.471 0.000 0.000
0.000 4.290 0.000
0.000 0.000 4.345
ATOMIC_POSITIONS angstrom
Ta 0.000 0.000 0.000
Al 1.735 0.000 2.173
Mo 0.000 2.145 2.173
Mo 1.735 2.145 0.000
```

Computed properties:
Energy relative to the elements, kJ/mol of formula units: -32
Mass density, g cm⁻³: 10.26



No. 6
Below is a relaxed Sr2Mg5Tl3 crystal, with properties calculated at the GGA-PBE level. Values from VASP.

The structure in Quantum ESPRESSO input format:
```
&SYSTEM
  ibrav = 0, nat = 10, ntyp = 3
/
ATOMIC_SPECIES
Sr 87.62 Sr.upf
Mg 24.30 Mg.upf
Tl 204.38 Tl.upf
CELL_PARAMETERS angstrom
4.683 0.000 0.000
0.000 4.683 0.000
0.000 0.000 13.618
ATOMIC_POSITIONS angstrom
Sr 0.000 2.341 3.310
Sr 2.341 0.000 10.308
Mg 0.000 0.000 6.809
Mg 0.000 2.341 8.731
Mg 2.341 0.000 4.887
Mg 2.341 2.341 0.000
Mg 2.341 2.341 6.809
Tl 0.000 0.000 0.000
Tl 0.000 2.341 11.605
Tl 2.341 0.000 2.013
```

Computed properties:
Energy above the lowest structure with this stoichiometry, eV/atom: 0.0954
Energy relative to the elements, kJ/mol of formula units: -96
Mass density, g cm⁻³: 5.06



No. 7
Below is a relaxed TcHSe2 crystal, with properties calculated at the GGA-PBE level. Values from VASP.

The structure in Quantum ESPRESSO input format:
```
&SYSTEM
  ibrav = 0, nat = 8, ntyp = 3
/
ATOMIC_SPECIES
Tc 98.00 Tc.upf
H 1.01 H.upf
Se 78.96 Se.upf
CELL_PARAMETERS angstrom
3.199 0.000 0.000
0.061 7.061 0.000
0.099 1.467 7.859
ATOMIC_POSITIONS angstrom
Tc 0.000 0.000 0.000
Tc 1.660 6.794 2.402
H 0.160 7.681 6.412
H 1.699 4.067 6.965
Se 1.698 2.718 6.311
Se 1.660 5.251 0.537
Se 3.199 1.608 1.931
Se 3.259 5.899 4.043
```

Computed properties:
Energy above the lowest structure with this stoichiometry, eV/atom: 0.0096
Mass density, g cm⁻³: 4.81



No. 8
Below is a relaxed La4Pr7Tm crystal, with properties calculated at the GGA-PBE level. Values from VASP.

The structure in Quantum ESPRESSO input format:
```
&SYSTEM
  ibrav = 0, nat = 12, ntyp = 3
/
ATOMIC_SPECIES
La 138.91 La.upf
Pr 140.91 Pr.upf
Tm 168.93 Tm.upf
CELL_PARAMETERS angstrom
6.162 -3.098 0.000
6.162 3.098 0.000
-6.055 0.000 11.711
ATOMIC_POSITIONS angstrom
La -1.381 0.000 3.939
La 3.158 0.000 2.600
La 3.112 0.000 9.111
La 7.651 0.000 7.772
Pr 0.000 0.000 0.000
Pr -3.003 0.000 10.808
Pr -0.938 0.000 8.124
Pr 1.477 0.000 5.814
Pr 4.793 0.000 5.897
Pr 7.208 0.000 3.587
Pr 9.273 0.000 0.903
Tm 6.162 0.000 0.000
```

Computed properties:
Energy above the lowest structure with this stoichiometry, eV/atom: 0.2116
Energy relative to the elements, kJ/mol of formula units: 260
Mass density, g cm⁻³: 6.35